1.
Here is ScTc2Ir at its PBEsol-relaxed geometry from Alexandria. Energies are from SCAN.

Output
**Energy above the most stable polymorph in this dataset**: 0.34 eV per formula unit
**DFT formation energy**: -0.82 eV per formula unit

a b c (Å): 3.0223 4.5192 8.8067
angles (deg): 90.00 90.00 90.00
Closest atoms and distances in Å follow each position.
Space group Imm2 (No. 44)
Inequivalent atoms, fractional coordinates:
Sc 0.0000 0.0000 0.0000 (multiplicity 2)  6 Tc 2.71-2.72, 2 Ir 2.74, 2 Sc 3.02
Tc 0.0000 0.0000 0.4876 (multiplicity 2)  2 Tc 2.54, 2 Ir 2.69, 4 Sc 2.72
Tc 0.0000 0.5000 0.7556 (multiplicity 2)  2 Tc 2.54, 2 Sc 2.71, 4 Ir 2.72
Ir 0.0000 0.5000 0.2404 (multiplicity 2)  6 Tc 2.69-2.72, 2 Sc 2.74

2.
Here is Li2ReNi at its PBEsol-relaxed geometry from Alexandria. Energies are from SCAN.

Output
**Energy above the most stable polymorph in this dataset**: 0.00 eV per formula unit
**DFT formation energy**: 1.26 eV per formula unit

a b c (Å): 2.4611 4.3455 4.7823
angles (deg): 90.00 90.00 90.00
Closest atoms and distances in Å follow each position.
Space group Pmmm (No. 47)
Inequivalent atoms, fractional coordinates:
Li 0.0000 0.0000 0.2489 (multiplicity 2)  4 Li 2.38-2.46
Re 0.5000 0.5000 0.5000 (multiplicity 1)  2 Ni 2.39, 2 Re 2.46
Ni 0.5000 0.5000 0.0000 (multiplicity 1)  2 Re 2.39, 2 Ni 2.46

3.
Here is Sr2HgBr at its PBEsol-relaxed geometry from Alexandria. Energies are from SCAN.

Output
**Energy above the most stable polymorph in this dataset**: 0.10 eV per formula unit
**Formation energy (no corrections)**: -1.17 eV per atom

a b c (Å): 4.0314 3.8838 8.6740
angles (deg): 90.00 90.19 90.00
Closest atoms and distances in Å follow each position.
Space group P2/m (No. 10)
Inequivalent atoms, fractional coordinates:
Sr 0.0016 0.0000 0.2177 (multiplicity 2)  2 Br 3.13, 4 Hg 3.38
Hg 0.5000 0.5000 0.0000 (multiplicity 1)  8 Sr 3.38
Br 0.0000 0.5000 0.5000 (multiplicity 1)  4 Sr 3.13

4.
Here is SrIn2Os at its PBEsol-relaxed geometry from Alexandria. Energies are from SCAN.

Output
**DFT formation energy**: 2.33 eV per formula unit

a b c (Å): 5.9893 9.4985 3.0346
angles (deg): 90.00 90.00 90.00
Closest atoms and distances in Å follow each position.
Space group Cmmm (No. 65)
Inequivalent atoms, fractional coordinates:
Sr 0.0000 0.0000 0.0000 (multiplicity 2)  2 Os 2.99, 2 Sr 3.03, 8 In 3.19
In 0.2500 0.2500 0.5000 (multiplicity 4)  4 In 2.99-3.03, 4 Os 3.19, 4 Sr 3.19
Os 0.0000 0.5000 0.0000 (multiplicity 2)  2 Sr 2.99, 2 Os 3.03, 8 In 3.19

| no. | N(E_F) (states/eV/cell) |
| --- | --- |
| 1 | 7.71 |
| 2 | 2.56 |
| 3 | 2.69 |
| 4 | 4.28 |